TaCrGa2O8: relaxed, PBE with a Hubbard U.

Properties
Spin magnetization (μB/f.u.): 1.0
Crystal system: tetragonal
Energy (eV/atom): -7.110

abc: 6.4116 6.4116 6.6304
angles: 90.00 90.00 90.00
Space group I-4m2 (No. 119)
Asymmetric unit:
Ta1 0.0000 0.0000 0.0000 (multiplicity 2)
Cr1 0.0000 0.5000 0.7500 (multiplicity 2)
Ga1 0.0000 0.0000 0.5000 (multiplicity 2)
Ga2 0.0000 0.5000 0.2500 (multiplicity 2)
O1 0.0000 0.1952 0.7117 (multiplicity 8)
O2 0.0000 0.3002 0.0594 (multiplicity 8)